The following is a DFT calculation (GGA-PBEsol) of an optimized crystal structure of CaInB2I.

Cell: 5.022 5.022 5.837 Å, 90.00 90.00 90.00°
Each line ends with the local moment (μB).
Positions (direct):
Ca  0.000  0.000  0.000  0.13
B  0.000  0.500  0.000  0.22
B  0.500  0.000  0.000  0.22
I  0.000  0.000  0.500  0.01
In  0.500  0.500  0.500  0.01

## Properties
Space group: P4/mmm
Formation energy from raw total energies in eV/f.u.: 7.87
Crystal system: tetragonal
Final energy in eV/cell: -13.04

---

The following is a DFT calculation (GGA-PBEsol) of an optimized crystal structure of Ru4SeBr.

Cell: 5.156 5.156 5.156 Å, 60.00 60.00 60.00°
Each line ends with the local moment (μB).
Positions (direct):
Se  0.750  0.750  0.750  0.02
Ru  0.375  0.375  0.874  0.74
Ru  0.874  0.375  0.375  0.74
Ru  0.375  0.874  0.375  0.74
Ru  0.375  0.375  0.375  0.74
Br  0.000  0.000  0.000  0.11

## Properties
Space group: F-43m
Formation energy from raw total energies in eV/f.u.: 7.11
Crystal system: cubic
Final energy in eV/cell: -39.30

---

The following is a DFT calculation (GGA-PBEsol) of an optimized crystal structure of BaCu2Ru.

Cell: 3.151 4.821 5.636 Å, 115.32 106.23 90.00°
Positions (direct):
Cu  0.786  0.786  0.571
Cu  0.214  0.214  0.429
Ru  0.500  0.000  0.000
Ba  0.000  0.500  0.000

## Properties
Space group: Immm
Crystal system: orthorhombic
Final energy in eV/cell: -17.89
Excess energy over the best structure of this formula in the dataset in meV per atom: 503
DFT formation energy in eV/atom: 0.775

---

The following is a DFT calculation (GGA-PBEsol) of an optimized crystal structure of Be2RuBr.

Cell: 3.042 3.042 5.669 Å, 90.00 90.00 90.00°
Positions (direct):
Br  0.500  0.500  0.000
Be  0.000  0.000  0.679
Be  0.000  0.000  0.321
Ru  0.500  0.500  0.500

## Properties
Space group: P4/mmm
Formation energy from raw total energies in eV/f.u.: 0.48
Crystal system: tetragonal
Final energy in eV/cell: -19.56
Excess energy over the best structure of this formula in the dataset in meV per atom: 0

---

The following is a DFT calculation (GGA-PBEsol) of an optimized crystal structure of InMoAu3.

Cell: 4.999 4.999 4.999 Å, 90.00 90.00 90.00°
Each line ends with the local moment (μB).
Positions (direct):
Au  0.500  0.000  0.000  -0.01
Au  0.000  0.500  0.000  -0.01
Au  0.000  0.000  0.500  -0.01
Mo  0.500  0.500  0.500  3.76
In  0.000  0.000  0.000  -0.02

## Properties
Space group: Pm-3m
Crystal system: cubic
Final energy in eV/cell: -19.61
DFT formation energy in eV/atom: 1.383

---

The following is a DFT calculation (GGA-PBEsol) of an optimized crystal structure of Ta2AsAu.

Cell: 2.943 2.943 9.585 Å, 81.17 81.17 60.00°
Positions (direct):
Au  0.252  0.252  0.244
As  0.495  0.495  0.514
Ta  0.753  0.753  0.740
Ta  0.999  0.999  0.003

## Properties
Space group: R3m
Crystal system: trigonal
Final energy in eV/cell: -33.82
Excess energy over the best structure of this formula in the dataset in meV per atom: 182
DFT formation energy in eV/atom: 0.078

---

- Among the records above, which one has the lowest final energy?
  Ru4SeBr

---

Repeat the sixth record exactly.
The following is a DFT calculation (GGA-PBEsol) of an optimized crystal structure of Ta2AsAu.

Cell: 2.943 2.943 9.585 Å, 81.17 81.17 60.00°
Positions (direct):
Au  0.252  0.252  0.244
As  0.495  0.495  0.514
Ta  0.753  0.753  0.740
Ta  0.999  0.999  0.003

## Properties
Space group: R3m
Crystal system: trigonal
Final energy in eV/cell: -33.82
Excess energy over the best structure of this formula in the dataset in meV per atom: 182
DFT formation energy in eV/atom: 0.078

---

- Look up the final energy of the fourth one.
  -19.56 eV/cell

---

- final energy of number 2 (Ru4SeBr)?
  -39.30 eV/cell